w) # NaGe2H2

A geometry-optimized NaGe2H2 structure (PBE, Alexandria via LeMat-Bulk).

Cell: 6.095 6.095 6.095 Å, 143.20 143.20 53.02°
Fractional coordinates of all 5 atoms:
Na: 0.000 0.000 0.000
Ge: 0.310 0.310 0.000
Ge: 0.690 0.690 0.000
H: 0.250 0.750 0.500
H: 0.750 0.250 0.500

## Properties
**Crystal system**: tetragonal
**Symmetry**: I4/mmm (139)
**DOS(E_F)**: 1.527 states/eV/f.u.
**Total moment**: 0.0 μB/f.u.

---

x) # NaGe2H2

A geometry-optimized NaGe2H2 structure (PBE, Alexandria via LeMat-Bulk).

Cell: 7.131 7.131 2.910 Å, 90.00 90.00 90.00°
Fractional coordinates of all 10 atoms:
Na: 0.000 0.000 0.000
Na: 0.500 0.500 0.000
Ge: 0.127 0.373 0.500
Ge: 0.373 0.873 0.500
Ge: 0.627 0.127 0.500
Ge: 0.873 0.627 0.500
H: 0.096 0.596 0.000
H: 0.404 0.096 0.000
H: 0.596 0.904 0.000
H: 0.904 0.404 0.000

## Properties
**Crystal system**: tetragonal
**Symmetry**: P4/mbm (127)
**DOS(E_F)**: 1.727 states/eV/f.u.
**Total moment**: 0.0 μB/f.u.

---

The structure with the least stability is x).

---

w) # NbGeH2

A geometry-optimized NbGeH2 structure (PBE, Alexandria via LeMat-Bulk).

Cell: 3.856 3.856 3.856 Å, 60.00 60.00 60.00°
Fractional coordinates of all 4 atoms:
Nb: 0.000 0.000 0.000
Ge: 0.500 0.500 0.500
H: 0.250 0.250 0.250
H: 0.750 0.750 0.750

## Properties
**Crystal system**: cubic
**Symmetry**: Fm-3m (225)
**DOS(E_F)**: 3.048 states/eV/f.u.
**Total moment**: 0.0 μB/f.u.

---

x) # NbGeH2

A geometry-optimized NbGeH2 structure (PBE, Alexandria via LeMat-Bulk).

Cell: 4.871 4.871 4.871 Å, 107.61 107.61 113.27°
Fractional coordinates of all 8 atoms:
Nb: 0.000 0.000 0.000
Nb: 0.750 0.250 0.500
Ge: 0.250 0.750 0.500
Ge: 0.500 0.500 0.000
H: 0.050 0.625 0.925
H: 0.375 0.300 0.425
H: 0.700 0.125 0.075
H: 0.875 0.950 0.575

## Properties
**Crystal system**: tetragonal
**Symmetry**: I-42d (122)
**DOS(E_F)**: 1.963 states/eV/f.u.
**Total moment**: 0.0 μB/f.u.

---

y) # NbGeH2

A geometry-optimized NbGeH2 structure (PBE, Alexandria via LeMat-Bulk).

Cell: 3.194 3.194 5.198 Å, 107.94 107.94 60.64°
Fractional coordinates of all 4 atoms:
Nb: 0.000 0.000 0.000
Ge: 0.192 0.192 0.574
H: 0.390 0.390 0.168
H: 0.700 0.700 0.104

## Properties
**Crystal system**: monoclinic
**Symmetry**: Cm (8)
**DOS(E_F)**: 1.614 states/eV/f.u.
**Total moment**: 0.0 μB/f.u.

---

The structure with the least stability is w).

---

w) # Nb3GeH3

A geometry-optimized Nb3GeH3 structure (PBE, Alexandria via LeMat-Bulk).

Cell: 5.423 5.423 5.423 Å, 90.00 90.00 90.00°
Fractional coordinates of all 14 atoms:
Nb: 0.000 0.250 0.500
Nb: 0.000 0.750 0.500
Nb: 0.250 0.500 0.000
Nb: 0.500 0.000 0.250
Nb: 0.500 0.000 0.750
Nb: 0.750 0.500 0.000
Ge: 0.000 0.000 0.000
Ge: 0.500 0.500 0.500
H: 0.000 0.500 0.250
H: 0.000 0.500 0.750
H: 0.250 0.000 0.500
H: 0.500 0.250 0.000
H: 0.500 0.750 0.000
H: 0.750 0.000 0.500

## Properties
**Crystal system**: cubic
**Symmetry**: Pm-3n (223)
**DOS(E_F)**: 4.283 states/eV/f.u.
**Total moment**: 0.0 μB/f.u.

---

x) # Nb3GeH3

A geometry-optimized Nb3GeH3 structure (PBE, Alexandria via LeMat-Bulk).

Cell: 6.869 6.869 6.869 Å, 48.82 48.82 48.82°
Fractional coordinates of all 14 atoms:
Nb: 0.088 0.404 0.718
Nb: 0.282 0.912 0.596
Nb: 0.404 0.718 0.088
Nb: 0.596 0.282 0.912
Nb: 0.718 0.088 0.404
Nb: 0.912 0.596 0.282
Ge: 0.166 0.166 0.166
Ge: 0.834 0.834 0.834
H: 0.022 0.720 0.369
H: 0.280 0.631 0.978
H: 0.369 0.022 0.720
H: 0.631 0.978 0.280
H: 0.720 0.369 0.022
H: 0.978 0.280 0.631

## Properties
**Crystal system**: trigonal
**Symmetry**: R-3 (148)
**DOS(E_F)**: 2.894 states/eV/f.u.
**Total moment**: 0.0 μB/f.u.

---

The structure with the least stability is x).

---

w) # NbGe3H

A geometry-optimized NbGe3H structure (PBE, Alexandria via LeMat-Bulk).

Cell: 4.192 4.192 4.192 Å, 90.00 90.00 90.00°
Fractional coordinates of all 5 atoms:
Nb: 0.000 0.000 0.000
Ge: 0.000 0.500 0.500
Ge: 0.500 0.000 0.500
Ge: 0.500 0.500 0.000
H: 0.500 0.500 0.500

## Properties
**Crystal system**: cubic
**Symmetry**: Pm-3m (221)
**DOS(E_F)**: 4.611 states/eV/f.u.
**Total moment**: 0.0 μB/f.u.

---

x) # NbGe3H

A geometry-optimized NbGe3H structure (PBE, Alexandria via LeMat-Bulk).

Cell: 5.029 5.029 5.029 Å, 90.00 90.00 90.00°
Fractional coordinates of all 5 atoms:
Nb: 0.000 0.000 0.000
Ge: 0.000 0.000 0.500
Ge: 0.000 0.500 0.000
Ge: 0.500 0.000 0.000
H: 0.500 0.500 0.500

## Properties
**Crystal system**: cubic
**Symmetry**: Pm-3m (221)
**DOS(E_F)**: 2.130 states/eV/f.u.
**Total moment**: 1.0 μB/f.u.

---

The structure with the least stability is x).

---

w) # Nb2GeH2

A geometry-optimized Nb2GeH2 structure (PBE, Alexandria via LeMat-Bulk).

Cell: 5.177 5.177 5.548 Å, 105.61 105.61 114.93°
Fractional coordinates of all 10 atoms:
Nb: 0.062 0.938 0.750
Nb: 0.315 0.685 0.250
Nb: 0.685 0.315 0.750
Nb: 0.938 0.062 0.250
Ge: 0.374 0.626 0.750
Ge: 0.626 0.374 0.250
H: 0.012 0.759 0.020
H: 0.241 0.988 0.480
H: 0.759 0.012 0.520
H: 0.988 0.241 0.980

## Properties
**Crystal system**: monoclinic
**Symmetry**: C2/c (15)
**DOS(E_F)**: 2.898 states/eV/f.u.
**Total moment**: 0.0 μB/f.u.

---

x) # Nb2GeH2

A geometry-optimized Nb2GeH2 structure (PBE, Alexandria via LeMat-Bulk).

Cell: 5.878 5.878 5.878 Å, 147.85 147.85 46.11°
Fractional coordinates of all 5 atoms:
Nb: 0.136 0.136 0.000
Nb: 0.864 0.864 0.000
Ge: 0.500 0.500 0.000
H: 0.250 0.750 0.500
H: 0.750 0.250 0.500

## Properties
**Crystal system**: tetragonal
**Symmetry**: I4/mmm (139)
**DOS(E_F)**: 3.609 states/eV/f.u.
**Total moment**: 0.0 μB/f.u.

---

The structure with the least stability is w).

---

w) # NbGe2H

A geometry-optimized NbGe2H structure (PBE, Alexandria via LeMat-Bulk).

Cell: 5.256 5.256 5.256 Å, 109.84 109.84 108.73°
Fractional coordinates of all 8 atoms:
Nb: 0.000 0.000 0.000
Nb: 0.750 0.250 0.500
Ge: 0.222 0.625 0.097
Ge: 0.375 0.472 0.597
Ge: 0.528 0.125 0.903
Ge: 0.875 0.778 0.403
H: 0.250 0.750 0.500
H: 0.500 0.500 0.000

## Properties
**Crystal system**: tetragonal
**Symmetry**: I-42d (122)
**DOS(E_F)**: 0.426 states/eV/f.u.
**Total moment**: 0.0 μB/f.u.

---

x) # NbGe2H

A geometry-optimized NbGe2H structure (PBE, Alexandria via LeMat-Bulk).

Cell: 4.448 4.448 4.448 Å, 60.00 60.00 60.00°
Fractional coordinates of all 4 atoms:
Nb: 0.000 0.000 0.000
Ge: 0.250 0.250 0.250
Ge: 0.750 0.750 0.750
H: 0.500 0.500 0.500

## Properties
**Crystal system**: cubic
**Symmetry**: Fm-3m (225)
**DOS(E_F)**: 3.828 states/eV/f.u.
**Total moment**: 0.0 μB/f.u.

---

The structure with the least stability is x).